[1]
Here is GaIrO2F at its PBEsol-relaxed geometry from Alexandria via LeMat-Bulk. Energies are from meta-GGA SCAN.

Cell: 3.6547 3.6547 6.5767 Å, 90.00 90.00 90.00°
Last column: nearest neighbours and their distance in Å.
Space group P4/mmm (No. 123)
Symmetry-distinct sites (fractional):
Ga  0.0000  0.0000  0.0000 [1 per cell]  4 F 2.58
Ir  0.5000  0.5000  0.5000 [1 per cell]  4 O 1.83
O  0.0000  0.5000  0.5000 [2 per cell]  2 Ir 1.83
F  0.5000  0.5000  0.0000 [1 per cell]  4 Ga 2.58

Results
Crystal system   tetragonal
Spin magnetization   0.00 μB/f.u.
DOS(E_F)   0.42 states/eV per atom
Formation energy from raw total energies   -0.722 eV per atom

---

[2]
Here is HgPbAu2 at its PBEsol-relaxed geometry from Alexandria via LeMat-Bulk. Energies are from meta-GGA SCAN.

Cell: 6.9643 6.9643 6.9643 Å, 90.00 90.00 90.00°
Last column: nearest neighbours and their distance in Å.
Space group F-43m (No. 216)
Symmetry-distinct sites (fractional):
Hg  0.0000  0.0000  0.0000 [4 per cell]  4 Pb 3.02, 4 Au 3.02
Pb  0.2500  0.2500  0.7500 [4 per cell]  4 Hg 3.02, 4 Au 3.02
Au  0.0000  0.0000  0.5000 [4 per cell]  4 Au 3.02, 4 Pb 3.02
Au  0.2500  0.2500  0.2500 [4 per cell]  4 Hg 3.02, 4 Au 3.02

Results
Relative energy among the computed polymorphs   153 meV/atom
Crystal system   cubic
Spin magnetization   0.00 μB/f.u.
DOS(E_F)   0.28 states/eV per atom

---

[3]
Here is BaSrCo2O6 at its PBEsol-relaxed geometry from Alexandria via LeMat-Bulk. Energies are from meta-GGA SCAN.

Cell: 5.5007 5.5007 4.6830 Å, 90.00 90.00 120.00°
Last column: nearest neighbours and their distance in Å.
Space group P-6m2 (No. 187)
Symmetry-distinct sites (fractional):
Ba  0.0000  0.0000  0.0000 [1 per cell]  12 O 2.75-2.91
Sr  0.6667  0.3333  0.5000 [1 per cell]  12 O 2.75-2.91
Co  0.3333  0.6667  0.2487 [2 per cell]  6 O 1.86
O  0.0278  0.5139  0.0000 [3 per cell]  2 Co 1.86
O  0.1818  0.3637  0.5000 [3 per cell]  2 Co 1.86

Results
Crystal system   hexagonal
Spin magnetization   2.00 μB/f.u.
DOS(E_F)   0.46 states/eV per atom
Formation energy from raw total energies   -2.063 eV per atom

---

[4]
Here is LiSi2Au at its PBEsol-relaxed geometry from Alexandria via LeMat-Bulk. Energies are from meta-GGA SCAN.

Cell: 3.7861 3.7861 4.0202 Å, 90.00 90.00 90.00°
Last column: nearest neighbours and their distance in Å.
Space group P4/mmm (No. 123)
Symmetry-distinct sites (fractional):
Li  0.0000  0.0000  0.0000 [1 per cell]  4 Au 2.68, 8 Si 2.76
Si  0.0000  0.5000  0.5000 [2 per cell]  4 Si 2.68, 4 Li 2.76, 4 Au 2.76
Au  0.5000  0.5000  0.0000 [1 per cell]  4 Li 2.68, 8 Si 2.76

Results
Relative energy among the computed polymorphs   5 meV/atom
Crystal system   tetragonal
Spin magnetization   0.00 μB/f.u.
DOS(E_F)   0.33 states/eV per atom
Formation energy from raw total energies   -0.047 eV per atom

---

[5]
Here is CdTcBi2 at its PBEsol-relaxed geometry from Alexandria via LeMat-Bulk. Energies are from meta-GGA SCAN.

Cell: 6.6015 6.6015 11.8621 Å, 90.00 90.00 90.00°
Last column: nearest neighbours and their distance in Å.
Space group I-42d (No. 122)
Symmetry-distinct sites (fractional):
Cd  0.0000  0.0000  0.0000 [4 per cell]  4 Bi 2.94
Tc  0.0000  0.0000  0.5000 [4 per cell]  4 Bi 2.61
Bi  0.2075  0.2500  0.6250 [8 per cell]  2 Tc 2.61

Results
Uncorrected energy   -2.0201 Ha/atom
Crystal system   tetragonal
Spin magnetization   0.00 μB/f.u.
DOS(E_F)   0.81 states/eV per atom

---

[6]
Here is YMgZr2 at its PBEsol-relaxed geometry from Alexandria via LeMat-Bulk. Energies are from meta-GGA SCAN.

Cell: 3.2085 3.2085 9.3781 Å, 90.00 90.00 90.00°
Last column: nearest neighbours and their distance in Å.
Space group P4mm (No. 99)
Symmetry-distinct sites (fractional):
Y  0.0000  0.0000  0.0000 [1 per cell]  4 Y 3.21, 4 Zr 3.32, 4 Mg 3.39
Mg  0.5000  0.5000  0.7311 [1 per cell]  4 Mg 3.21, 4 Zr 3.22, 4 Y 3.39
Zr  0.0000  0.0000  0.4875 [1 per cell]  8 Zr 3.12-3.21, 4 Mg 3.22
Zr  0.5000  0.5000  0.2588 [1 per cell]  8 Zr 3.12-3.21, 4 Y 3.32

Results
Uncorrected energy   -0.8644 Ha/atom
Crystal system   tetragonal
Spin magnetization   0.28 μB/f.u.
DOS(E_F)   1.08 states/eV per atom

---

[7]
Here is CaB2H10O at its PBEsol-relaxed geometry from Alexandria via LeMat-Bulk. Energies are from meta-GGA SCAN.

Cell: 7.8762 5.6102 11.3997 Å, 90.00 90.00 90.00°
Last column: nearest neighbours and their distance in Å.
Space group Pnma (No. 62)
Symmetry-distinct sites (fractional):
Ca  0.1799  0.2500  0.0837 [4 per cell]  7 H 2.20-2.46, 1 O 2.32
B  0.0129  0.7500  0.7094 [4 per cell]  4 H 1.22-1.23
B  0.1386  0.7500  0.0497 [4 per cell]  4 H 1.22-1.23
H  0.0074  0.2500  0.9121 [4 per cell]  1 B 1.23
H  0.0667  0.7500  0.8101 [4 per cell]  1 B 1.22
H  0.0699  0.5699  0.6613 [8 per cell]  1 B 1.23
H  0.0907  0.6088  0.3838 [8 per cell]  1 O 0.99
H  0.1427  0.2500  0.2982 [4 per cell]  1 B 1.23
H  0.1638  0.5836  0.9825 [8 per cell]  1 B 1.22
H  0.2371  0.7500  0.1331 [4 per cell]  1 B 1.23
O  0.1442  0.7500  0.4200 [4 per cell]  2 H 0.99

Results
Uncorrected energy   -0.1914 Ha/atom
Crystal system   orthorhombic
Spin magnetization   0.00 μB/f.u.
DOS(E_F)   0.00 states/eV per atom

---

[8]
Here is Fe2NiIr at its PBEsol-relaxed geometry from Alexandria via LeMat-Bulk. Energies are from meta-GGA SCAN.

Cell: 4.3658 2.5900 4.3984 Å, 90.00 108.79 90.00°
Last column: nearest neighbours and their distance in Å.
Space group P2/m (No. 10)
Symmetry-distinct sites (fractional):
Fe  0.0000  0.0000  0.0000 [1 per cell]  6 Fe 2.54-2.59, 2 Ir 2.55, 4 Ni 2.55
Fe  0.5000  0.5000  0.0000 [1 per cell]  6 Fe 2.54-2.59, 2 Ni 2.55, 4 Ir 2.55
Ni  0.0000  0.5000  0.5000 [1 per cell]  4 Ir 2.54, 6 Fe 2.55, 2 Ni 2.59
Ir  0.5000  0.0000  0.5000 [1 per cell]  4 Ni 2.54, 6 Fe 2.55, 2 Ir 2.59

Results
Uncorrected energy   -1.1383 Ha/atom
Crystal system   monoclinic
Spin magnetization   6.61 μB/f.u.
DOS(E_F)   0.90 states/eV per atom